Entry from Alexandria: a relaxed structure of Li2TaFe (PBE-GGA).

Geometry as extended XYZ:
```
8
Lattice="4.2521 0.0000 0.0000 0.0000 2.9402 0.0000 0.0000 0.0000 9.7528" Properties=species:S:1:pos:R:3 pbc="T T T"
Fe 3.1891 1.4701 0.9484
Fe 1.0630 1.4701 8.8045
Li 1.0630 0.0000 6.5645
Li 1.0630 1.4701 3.8825
Li 3.1891 0.0000 3.1884
Li 3.1891 1.4701 5.8703
Ta 3.1891 0.0000 8.5969
Ta 1.0630 0.0000 1.1559
```

The energy of formation from the pure elements comes out at 0.059 eV/atom. For the total magnetization, the calculation gives 0.000 μB/atom. The calculation puts the energy relative to the lowest polymorph listed for this composition at 0.000 eV/atom. Its crystal system is orthorhombic. The electronic total energy is -47.81 eV per cell.